(1)
# RbMgBrF2

Crystalline RbMgBrF2 at its relaxed geometry (PBE, the Alexandria database).

## Properties
Symmetry: P4/mmm
Polymorph energy (0 for the lowest one) in meV per atom: 62
DFT total energy in eV for the cell shown: -20.5
E_form (uncorrected) in eV/atom: -2.511

abc: 4.354 4.354 5.327
angles: 90.00 90.00 90.00
Atoms (fractional coordinates):
Rb 0.000 0.000 0.000
Mg 0.500 0.500 0.500
Br 0.500 0.500 0.000
F 0.000 0.500 0.500
F 0.500 0.000 0.500



(2)
# Rb2MgBr3F

Crystalline Rb2MgBr3F at its relaxed geometry (PBE, the Alexandria database).

## Properties
Symmetry: Immm
DFT total energy in eV for the cell shown: -24.4
E_form (uncorrected) in eV/atom: -2.002

abc: 9.653 9.653 9.653
angles: 155.58 146.27 42.08
Atoms (fractional coordinates):
Rb 0.151 0.151 0.000
Rb 0.849 0.849 0.000
Mg 0.500 0.500 0.000
Br 0.000 0.500 0.500
Br 0.346 0.346 0.000
Br 0.654 0.654 0.000
F 0.500 0.000 0.500



(3)
# Rb2MgBrF6

Crystalline Rb2MgBrF6 at its relaxed geometry (PBE, the Alexandria database).

## Properties
Symmetry: I4/mmm
DFT total energy in eV for the cell shown: -39.4
E_form (uncorrected) in eV/atom: -2.293

abc: 6.226 6.226 6.226
angles: 115.28 115.28 98.40
Atoms (fractional coordinates):
Rb 0.250 0.750 0.500
Rb 0.750 0.250 0.500
Mg 0.000 0.000 0.000
Br 0.500 0.500 0.000
F 0.208 0.208 0.416
F 0.208 0.792 0.000
F 0.263 0.263 0.000
F 0.737 0.737 0.000
F 0.792 0.208 0.000
F 0.792 0.792 0.584



(4)
# Mg2SbBrF

Crystalline Mg2SbBrF at its relaxed geometry (PBE, the Alexandria database).

## Properties
Symmetry: P4/mmm
DFT total energy in eV for the cell shown: -14.7
E_form (uncorrected) in eV/atom: -0.771

abc: 5.584 5.584 4.417
angles: 90.00 90.00 90.00
Atoms (fractional coordinates):
Mg 0.000 0.500 0.000
Mg 0.500 0.000 0.000
Sb 0.000 0.000 0.000
Br 0.500 0.500 0.500
F 0.000 0.000 0.500